Density functional theory data (meta-GGA SCAN) for a PBEsol-optimized structure of CaH2Pb.

Cell: 5.113 5.113 6.534 Å, 113.04 113.04 90.00°
Atoms (fractional coordinates):
Pb: 0.250 0.750 0.500
Pb: 0.000 0.000 0.000
H: 0.826 0.375 0.250
H: 0.424 0.875 0.250
H: 0.625 0.576 0.750
H: 0.125 0.174 0.750
Ca: 0.750 0.250 0.500
Ca: 0.500 0.500 0.000

Computed properties:
**E_tot**: -23.1357 eV per atom
**Space group**: No. 122

Density functional theory data (meta-GGA SCAN) for a PBEsol-optimized structure of Ba3ZrO.

Cell: 5.834 5.834 5.834 Å, 90.00 90.00 90.00°
Site moments in Bohr magnetons follow the coordinates.
Atoms (fractional coordinates):
O: 0.500 0.500 0.500  0.04
Ba: 0.000 0.500 0.000  -0.07
Ba: 0.000 0.000 0.500  -0.07
Ba: 0.500 0.000 0.000  -0.07
Zr: 0.000 0.000 0.000  -0.43

Computed properties:
**Formation energy without anion corrections**: 0.7929 eV/atom
**Space group**: No. 221

Density functional theory data (meta-GGA SCAN) for a PBEsol-optimized structure of BaReW2.

Cell: 3.903 3.903 5.018 Å, 90.00 90.00 90.00°
Atoms (fractional coordinates):
Ba: 0.500 0.500 0.500
Re: 0.000 0.000 0.500
W: 0.000 0.500 0.000
W: 0.500 0.000 0.000

Computed properties:
**Excess energy over the best structure of this formula in the dataset**: 1228 meV per atom
**Formation energy from the elements**: 2.1288 eV/atom
**Space group**: No. 123

Density functional theory data (meta-GGA SCAN) for a PBEsol-optimized structure of CaTl2In.

Cell: 4.622 4.626 5.923 Å, 112.99 112.97 90.00°
Atoms (fractional coordinates):
Tl: 0.000 0.000 0.001
Tl: 0.250 0.750 0.500
Ca: 0.500 0.500 0.000
In: 0.750 0.250 0.499

Computed properties:
**Formation energy from the elements**: -0.3196 eV/atom
**Space group**: No. 44